No. 1
DFT (PBE) results for a relaxed Pu5ZrPt6 crystal.

The density of states at the Fermi level comes out at 52.67 states/eV/f.u. Its total DFT energy (no corrections) is -10.44 eV per atom. The value obtained for the energy relative to the elements is -730.7 meV per atom.

It has space group C2/m (No. 12), with a = 14.841 Å, b = 7.064 Å, c = 4.996 Å, α = 90.00°, β = 109.54° and γ = 90.00°. The asymmetric unit holds Pu at (0.000, 0.000, 0.000), Pu at (0.159, 0.000, 0.719), Pu at (0.188, 0.500, 0.767), Zr at (0.000, 0.500, 0.000), Pt at (0.000, 0.287, 0.500) and Pt at (0.159, 0.271, 0.250).

---

No. 2
DFT (PBE) results for a relaxed PuZr2Pt crystal.

The density of states at the Fermi level comes out at 4.78 states/eV/f.u. Its total DFT energy (no corrections) is -9.80 eV per atom. The value obtained for the energy relative to the elements is -434.8 meV per atom.

It has space group P4/mmm (No. 123), with a = 3.351 Å, b = 3.351 Å, c = 7.538 Å, α = 90.00°, β = 90.00° and γ = 90.00°. The asymmetric unit holds Pu at (0.000, 0.000, 0.000), Zr at (0.500, 0.500, 0.279) and Pt at (0.000, 0.000, 0.500).

---

No. 3
DFT (PBE) results for a relaxed PuZrPt crystal.

The density of states at the Fermi level comes out at 5.09 states/eV/f.u. Its total DFT energy (no corrections) is -10.02 eV per atom. The value obtained for the energy relative to the elements is -378.4 meV per atom.

It has space group P3m1 (No. 156), with a = 4.7708 Å, b = 4.7708 Å, c = 3.0959 Å, α = 90.00°, β = 90.00° and γ = 120.00°. The asymmetric unit holds Pu at (0.0000, 0.0000, 0.0000), Zr at (0.6667, 0.3333, 0.3138) and Pt at (0.3333, 0.6667, 0.6683).

---

No. 4
DFT (PBE) results for a relaxed RbPt2 crystal.

The density of states at the Fermi level comes out at 1.68 states/eV/f.u. Its total DFT energy (no corrections) is -4.38 eV per atom. The value obtained for the energy relative to the elements is -32.1 meV per atom.

It has space group Immm (No. 71), with a = 2.860 Å, b = 4.401 Å, c = 11.899 Å, α = 90.00°, β = 90.00° and γ = 90.00°. The asymmetric unit holds Rb at (0.000, 0.000, 0.000) and Pt at (0.000, 0.000, 0.268).

---

No. 5
DFT (PBE) results for a relaxed Rb3Pt5 crystal.

The density of states at the Fermi level comes out at 10.56 states/eV/f.u. Its total DFT energy (no corrections) is -3.82 eV per atom. The value obtained for the energy relative to the elements is 315.8 meV per atom.

It has space group P6_3/mcm (No. 193), with a = 11.0397 Å, b = 11.0397 Å, c = 4.7889 Å, α = 90.00°, β = 90.00° and γ = 120.00°. The asymmetric unit holds Rb at (0.0000, 0.3686, 0.2500), Pt at (0.0000, 0.1383, 0.7500) and Pt at (0.3333, 0.6667, 0.0000).

---

No. 6
DFT (PBE) results for a relaxed Rb4Pt crystal.

The density of states at the Fermi level comes out at 1.29 states/eV/f.u. Its total DFT energy (no corrections) is -1.91 eV per atom. The value obtained for the energy relative to the elements is 69.9 meV per atom.

It has space group Pm-3m (No. 221), with a = 6.722 Å, b = 6.722 Å, c = 6.722 Å, α = 90.00°, β = 90.00° and γ = 90.00°. The asymmetric unit holds Rb at (0.000, 0.000, 0.000), Rb at (0.000, 0.500, 0.500) and Pt at (0.500, 0.500, 0.500).